1.
This record from Alexandria describes LaMgCu2 at its PBEsol-relaxed geometry. The functional is meta-GGA SCAN.

Geometry as POSCAR:
```
LaMgCu2
1.0
-0.224 3.299 -2.011
-4.074 0.190 0.765
1.032 0.999 5.248
La Cu Mg
1 2 1
Direct
0.100 0.000 0.201 La
0.693 0.500 0.386 Cu
0.820 0.000 0.640 Cu
0.387 0.500 0.774 Mg
```

crystal system = orthorhombic
space group = No. 38
DOS at the Fermi energy = 2.7 states/eV per cell
calculated formation energy = -0.14 eV/atom

---

2.
This record from Alexandria describes LaMg2Cu2 at its PBEsol-relaxed geometry. The functional is meta-GGA SCAN.

Geometry as POSCAR:
```
LaMg2Cu2
1.0
-2.484 2.185 3.308
-3.683 -2.717 -0.972
4.571 -2.898 2.038
Mg Cu La
2 2 1
Direct
0.355 0.355 0.710 Mg
0.645 0.645 0.290 Mg
0.250 0.750 0.500 Cu
0.750 0.250 0.500 Cu
0.000 0.000 0.000 La
```

crystal system = tetragonal
space group = No. 139
DOS at the Fermi energy = 2.9 states/eV per cell
calculated formation energy = -0.06 eV/atom

---

3.
This record from Alexandria describes La2MgCu at its PBEsol-relaxed geometry. The functional is meta-GGA SCAN.

Geometry as POSCAR:
```
La2MgCu
1.0
3.818 0.000 0.000
0.000 5.235 0.000
0.000 0.000 5.235
Mg La Cu
1 2 1
Direct
0.500 0.000 0.000 Mg
0.000 0.000 0.500 La
0.000 0.500 0.000 La
0.500 0.500 0.500 Cu
```

crystal system = tetragonal
space group = No. 123
DOS at the Fermi energy = 4.3 states/eV per cell
calculated formation energy = -0.04 eV/atom

---

4.
This record from Alexandria describes LaMgCu2 at its PBEsol-relaxed geometry. The functional is meta-GGA SCAN.

Geometry as POSCAR:
```
LaMgCu2
1.0
-4.138 -1.704 -1.027
2.622 -2.078 3.144
-3.550 4.890 6.192
La Cu Mg
2 4 2
Direct
0.667 0.333 0.750 La
0.333 0.667 0.250 La
0.333 0.667 0.918 Cu
0.333 0.667 0.582 Cu
0.667 0.333 0.082 Cu
0.667 0.333 0.418 Cu
0.000 0.000 0.000 Mg
0.000 0.000 0.500 Mg
```

crystal system = hexagonal
space group = No. 194
DOS at the Fermi energy = 6.4 states/eV per cell
calculated formation energy = -0.19 eV/atom

---

5.
This record from Alexandria describes La2MgCu at its PBEsol-relaxed geometry. The functional is meta-GGA SCAN.

Geometry as POSCAR:
```
La2MgCu
1.0
3.709 0.000 0.000
0.000 3.709 0.000
0.000 0.000 7.601
Mg Cu La
1 1 2
Direct
0.500 0.500 0.000 Mg
0.500 0.500 0.500 Cu
0.000 0.000 0.714 La
0.000 0.000 0.286 La
```

crystal system = tetragonal
space group = No. 123
DOS at the Fermi energy = 3.7 states/eV per cell
calculated formation energy = -0.13 eV/atom

---

6.
This record from Alexandria describes La2MgCu2 at its PBEsol-relaxed geometry. The functional is meta-GGA SCAN.

Geometry as POSCAR:
```
La2MgCu2
1.0
3.849 0.000 0.000
0.000 7.796 0.000
0.000 0.000 7.796
Mg La Cu
2 4 4
Direct
0.000 0.500 0.500 Mg
0.000 0.000 0.000 Mg
0.500 0.329 0.171 La
0.500 0.671 0.829 La
0.500 0.829 0.329 La
0.500 0.171 0.671 La
0.000 0.880 0.620 Cu
0.000 0.120 0.380 Cu
0.000 0.380 0.880 Cu
0.000 0.620 0.120 Cu
```

crystal system = tetragonal
space group = No. 127
DOS at the Fermi energy = 7.9 states/eV per cell
calculated formation energy = -0.21 eV/atom

---

7.
This record from Alexandria describes La2MgCu at its PBEsol-relaxed geometry. The functional is meta-GGA SCAN.

Geometry as POSCAR:
```
La2MgCu
1.0
3.621 0.000 0.000
1.811 3.136 0.000
1.811 1.045 9.767
Cu La Mg
1 2 1
Direct
0.000 0.000 0.000 Cu
0.737 0.737 0.788 La
0.263 0.263 0.212 La
0.500 0.500 0.500 Mg
```

crystal system = trigonal
space group = No. 166
DOS at the Fermi energy = 3.8 states/eV per cell
calculated formation energy = 0.08 eV/atom

---

8.
This record from Alexandria describes LaMg2Cu2 at its PBEsol-relaxed geometry. The functional is meta-GGA SCAN.

Geometry as POSCAR:
```
LaMg2Cu2
1.0
4.080 0.000 0.000
0.000 4.080 0.000
-2.040 -2.040 6.093
Cu Mg La
2 2 1
Direct
0.399 0.399 0.798 Cu
0.601 0.601 0.202 Cu
0.750 0.250 0.500 Mg
0.250 0.750 0.500 Mg
0.000 0.000 0.000 La
```

crystal system = tetragonal
space group = No. 139
DOS at the Fermi energy = 3.2 states/eV per cell
calculated formation energy = -0.19 eV/atom

---

9.
This record from Alexandria describes La2MgCu at its PBEsol-relaxed geometry. The functional is meta-GGA SCAN.

Geometry as POSCAR:
```
La2MgCu
1.0
-2.889 1.769 -1.323
-3.097 -2.789 3.035
3.478 4.224 3.050
La Mg Cu
2 1 1
Direct
0.767 0.267 0.533 La
0.951 0.951 0.902 La
0.553 0.553 0.106 Mg
0.229 0.729 0.459 Cu
```

crystal system = orthorhombic
space group = No. 44
DOS at the Fermi energy = 2.7 states/eV per cell
calculated formation energy = -0.11 eV/atom

---

10.
This record from Alexandria describes LaMgCu2Re at its PBEsol-relaxed geometry. The functional is meta-GGA SCAN.

Geometry as POSCAR:
```
LaMgCu2Re
1.0
4.480 0.000 0.000
0.000 4.480 0.000
0.000 0.000 4.872
Cu Mg La Re
2 1 1 1
Direct
0.000 0.500 0.000 Cu
0.500 0.000 0.000 Cu
0.000 0.000 0.000 Mg
0.500 0.500 0.500 La
0.000 0.000 0.500 Re
```

crystal system = tetragonal
space group = No. 123
DOS at the Fermi energy = 3.5 states/eV per cell
calculated formation energy = 0.85 eV/atom

---

11.
This record from Alexandria describes LaMn2Cu at its PBEsol-relaxed geometry. The functional is meta-GGA SCAN.

Geometry as POSCAR:
```
LaMn2Cu
1.0
-1.452 -2.664 -1.027
2.986 -2.418 2.053
-2.393 0.996 4.652
La Mn Cu
1 2 1
Direct
0.000 0.500 0.500 La
0.661 0.000 0.792 Mn
0.339 0.000 0.208 Mn
0.500 0.500 0.000 Cu
```

crystal system = monoclinic
space group = No. 10
DOS at the Fermi energy = 2.4 states/eV per cell
calculated formation energy = 0.14 eV/atom

---

12.
This record from Alexandria describes LaMn2Cu at its PBEsol-relaxed geometry. The functional is meta-GGA SCAN.

Geometry as POSCAR:
```
LaMn2Cu
1.0
2.966 0.000 0.000
1.483 2.568 0.000
1.483 0.856 8.757
Cu Mn La
1 2 1
Direct
0.484 0.484 0.548 Cu
0.747 0.747 0.758 Mn
0.020 0.020 0.941 Mn
0.249 0.249 0.252 La
```

crystal system = trigonal
space group = No. 160
DOS at the Fermi energy = 3.6 states/eV per cell
calculated formation energy = 0.38 eV/atom

---

> The lowest calculated formation energy belongs to which entry?

La2MgCu2

---

> Look up the DOS at the Fermi energy of the tenth one.

3.5 states/eV per cell

---

> The lowest calculated formation energy belongs to which entry?

La2MgCu2